Record 1
Crystalline ScAgH2 at its relaxed geometry, computed with PBE.

Cell: 3.986 3.986 3.986 Å, 60.00 60.00 60.00°
Atoms (fractional coordinates):
Sc 0.000 0.000 0.000
H 0.250 0.250 0.250
H 0.750 0.750 0.750
Ag 0.500 0.500 0.500

Computed properties:
DOS(E_F) = 2.7 states/eV/cell
V = 11.2 Å³/atom
symmetry = Fm-3m, No. 225
polymorph energy (0 for the lowest one) = 0.0795 eV/atom
energy = -3.98 eV/atom

Record 2
Crystalline ScAgH3 at its relaxed geometry, computed with PBE.

Cell: 3.797 3.797 3.797 Å, 90.00 90.00 90.00°
Atoms (fractional coordinates):
Sc 0.000 0.000 0.000
H 0.000 0.500 0.000
H 0.000 0.000 0.500
H 0.500 0.000 0.000
Ag 0.500 0.500 0.500

Computed properties:
DOS(E_F) = 1.3 states/eV/cell
V = 10.9 Å³/atom
symmetry = Pm-3m, No. 221
polymorph energy (0 for the lowest one) = 0.0000 eV/atom
energy = -3.88 eV/atom

Record 3
Crystalline ScAg2H at its relaxed geometry, computed with PBE.

Cell: 4.587 4.587 4.587 Å, 60.00 60.00 60.00°
Atoms (fractional coordinates):
Sc 0.500 0.500 0.500
H 0.000 0.000 0.000
Ag 0.250 0.250 0.250
Ag 0.750 0.750 0.750

Computed properties:
DOS(E_F) = 1.9 states/eV/cell
V = 17.1 Å³/atom
symmetry = Fm-3m, No. 225
polymorph energy (0 for the lowest one) = 0.2228 eV/atom
energy = -3.40 eV/atom

Record 4
Crystalline Sc2AgH at its relaxed geometry, computed with PBE.

Cell: 4.648 4.648 4.648 Å, 60.00 60.00 60.00°
Atoms (fractional coordinates):
Sc 0.250 0.250 0.250
Sc 0.750 0.750 0.750
H 0.000 0.000 0.000
Ag 0.500 0.500 0.500

Computed properties:
DOS(E_F) = 2.5 states/eV/cell
V = 17.7 Å³/atom
symmetry = Fm-3m, No. 225
polymorph energy (0 for the lowest one) = 0.3727 eV/atom
energy = -4.58 eV/atom

Record 5
Crystalline Sc2AgH at its relaxed geometry, computed with PBE.

Cell: 6.264 6.264 5.638 Å, 56.25 56.25 90.00°
Atoms (fractional coordinates):
Sc 0.526 0.125 0.250
Sc 0.224 0.625 0.250
Sc 0.375 0.474 0.750
Sc 0.875 0.776 0.750
H 0.500 0.500 0.000
H 0.250 0.750 0.500
Ag 0.000 0.000 0.000
Ag 0.750 0.250 0.500

Computed properties:
DOS(E_F) = 5.8 states/eV/cell
V = 17.1 Å³/atom
symmetry = I-42d, No. 122
polymorph energy (0 for the lowest one) = 0.0000 eV/atom
energy = -4.95 eV/atom

Record 6
Crystalline ScAg2H at its relaxed geometry, computed with PBE.

Cell: 5.903 5.903 5.685 Å, 58.72 58.72 90.00°
Atoms (fractional coordinates):
Sc 0.000 0.000 0.000
Sc 0.750 0.250 0.500
H 0.500 0.500 0.000
H 0.250 0.750 0.500
Ag 0.465 0.125 0.250
Ag 0.285 0.625 0.250
Ag 0.375 0.535 0.750
Ag 0.875 0.715 0.750

Computed properties:
DOS(E_F) = 5.1 states/eV/cell
V = 16.8 Å³/atom
symmetry = I-42d, No. 122
polymorph energy (0 for the lowest one) = 0.0000 eV/atom
energy = -3.62 eV/atom

Repeat the third record exactly.
Crystalline ScAg2H at its relaxed geometry, computed with PBE.

Cell: 4.587 4.587 4.587 Å, 60.00 60.00 60.00°
Atoms (fractional coordinates):
Sc 0.500 0.500 0.500
H 0.000 0.000 0.000
Ag 0.250 0.250 0.250
Ag 0.750 0.750 0.750

Computed properties:
DOS(E_F) = 1.9 states/eV/cell
V = 17.1 Å³/atom
symmetry = Fm-3m, No. 225
polymorph energy (0 for the lowest one) = 0.2228 eV/atom
energy = -3.40 eV/atom